# 1
Computed, not measured: crystalline Sm12HoTm3 at its relaxed geometry at the PBE level of DFT.

Lattice parameters (Å, degrees): 5.0841 5.0841 20.2977 90.00 90.00 90.00
Atoms (fractional coordinates):
1 Sm 0.5000 0.5000 0.0000
2 Sm 0.5000 0.5000 0.2505
3 Sm 0.5000 0.5000 0.5000
4 Sm 0.5000 0.5000 0.7495
5 Sm 0.5000 0.0000 0.1255
6 Sm 0.5000 0.0000 0.3751
7 Sm 0.5000 0.0000 0.6249
8 Sm 0.5000 0.0000 0.8745
9 Sm 0.0000 0.5000 0.1255
10 Sm 0.0000 0.5000 0.3751
11 Sm 0.0000 0.5000 0.6249
12 Sm 0.0000 0.5000 0.8745
13 Ho 0.0000 0.0000 0.0000
14 Tm 0.0000 0.0000 0.2504
15 Tm 0.0000 0.0000 0.5000
16 Tm 0.0000 0.0000 0.7496

Properties
For the energy of formation, the calculation gives 1.66 kJ/mol of atoms. Its space group is P4/mmm (123). As for the crystal system: tetragonal. The total energy is -4.6467 eV per atom. The calculation puts the density of states at the Fermi level at 23.484 states/eV/cell.



# 2
Computed, not measured: crystalline Sr2DyPuSe4 at its relaxed geometry at the PBE level of DFT.

Lattice parameters (Å, degrees): 4.2419 7.3521 7.4816 109.14 90.00 90.00
Atoms (fractional coordinates):
1 Sr 0.5000 0.0000 0.5000
2 Sr 0.0000 0.5000 0.5000
3 Dy 0.5000 0.5000 0.0000
4 Pu 0.0000 0.0000 0.0000
5 Se 0.5000 0.2484 0.2332
6 Se 0.5000 0.7516 0.7668
7 Se 0.0000 0.2610 0.7686
8 Se 0.0000 0.7390 0.2314

Properties
Its space group is P2/m (10). As for the crystal system: monoclinic. The total energy is -6.3401 eV per atom. The calculation puts the density of states at the Fermi level at 13.256 states/eV/cell.



# 3
Computed, not measured: crystalline KSc2Hg2 at its relaxed geometry at the PBE level of DFT.

Lattice parameters (Å, degrees): 8.8426 8.8426 3.2747 90.00 90.00 90.00
Atoms (fractional coordinates):
1 Sc 0.3763 0.8763 0.0000
2 Sc 0.8763 0.6237 0.0000
3 Sc 0.6237 0.1237 0.0000
4 Sc 0.1237 0.3763 0.0000
5 K 0.0000 0.0000 0.0000
6 K 0.5000 0.5000 0.0000
7 Hg 0.1720 0.6720 0.5000
8 Hg 0.6720 0.8280 0.5000
9 Hg 0.8280 0.3280 0.5000
10 Hg 0.3280 0.1720 0.5000

Properties
For the energy of formation, the calculation gives -12.64 kJ/mol of atoms. Its space group is P4/mbm (127). As for the crystal system: tetragonal. The total energy is -3.0038 eV per atom. The calculation puts the density of states at the Fermi level at 15.678 states/eV/cell.



# 4
Computed, not measured: crystalline Pu4TlS8 at its relaxed geometry at the PBE level of DFT.

Lattice parameters (Å, degrees): 8.0397 8.0397 8.6113 103.03 103.99 119.96
Atoms (fractional coordinates):
1 Pu 0.2480 0.2480 0.0000
2 Pu 0.7520 0.7520 0.0000
3 Pu 0.2586 0.7599 0.0184
4 Pu 0.7414 0.2401 0.9816
5 Tl 0.0000 0.5000 0.5000
6 S 0.6838 0.0162 0.1805
7 S 0.1643 0.4967 0.1805
8 S 0.6742 0.4981 0.1723
9 S 0.1735 0.0109 0.1844
10 S 0.8265 0.9891 0.8156
11 S 0.3258 0.5019 0.8277
12 S 0.8357 0.5033 0.8195
13 S 0.3162 0.9838 0.8195

Properties
Its space group is C2/m (12). As for the crystal system: monoclinic. The total energy is -8.4881 eV per atom. The calculation puts the density of states at the Fermi level at 39.055 states/eV/cell.



# 5
Computed, not measured: crystalline Na3BiTe at its relaxed geometry at the PBE level of DFT.

Lattice parameters (Å, degrees): 5.9155 5.9155 5.9155 90.00 90.00 90.00
Atoms (fractional coordinates):
1 Na 0.0000 0.5000 0.0000
2 Na 0.0000 0.0000 0.5000
3 Na 0.5000 0.0000 0.0000
4 Te 0.5000 0.5000 0.5000
5 Bi 0.0000 0.0000 0.0000

Properties
Its space group is Pm-3m (221). As for the crystal system: cubic. The total energy is -2.2292 eV per atom. The calculation puts the density of states at the Fermi level at 2.881 states/eV/cell.



# 6
Computed, not measured: crystalline TbSc2Zn2Sn2 at its relaxed geometry at the PBE level of DFT.

Lattice parameters (Å, degrees): 4.6728 4.6728 8.7767 74.56 74.56 60.00
Atoms (fractional coordinates):
1 Tb 0.0000 0.0000 0.0000
2 Sc 0.1354 0.1354 0.5939
3 Sc 0.8646 0.8646 0.4061
4 Zn 0.5574 0.5574 0.3279
5 Zn 0.4426 0.4426 0.6721
6 Sn 0.7374 0.7374 0.7878
7 Sn 0.2626 0.2626 0.2122

Properties
For the energy of formation, the calculation gives -33.33 kJ/mol of atoms. Its space group is R-3m (166). As for the crystal system: trigonal. The total energy is -4.3235 eV per atom. The calculation puts the density of states at the Fermi level at 7.329 states/eV/cell.



# 7
Computed, not measured: crystalline Tm3Sc4Al4 at its relaxed geometry at the PBE level of DFT.

Lattice parameters (Å, degrees): 4.9298 6.5357 8.9384 111.44 106.01 90.00
Atoms (fractional coordinates):
1 Tm 0.1086 0.1086 0.2172
2 Tm 0.8914 0.8914 0.7828
3 Tm 0.0000 0.5000 0.0000
4 Sc 0.3197 0.0916 0.6394
5 Sc 0.6803 0.4522 0.3606
6 Sc 0.6803 0.9084 0.3606
7 Sc 0.3197 0.5478 0.6394
8 Al 0.1816 0.6816 0.3632
9 Al 0.8184 0.3184 0.6368
10 Al 0.5000 0.7922 0.0000
11 Al 0.5000 0.2078 0.0000

Properties
For the energy of formation, the calculation gives -21.99 kJ/mol of atoms. Its space group is Immm (71). As for the crystal system: orthorhombic. The total energy is -5.1108 eV per atom. The calculation puts the density of states at the Fermi level at 10.304 states/eV/cell.



# 8
Computed, not measured: crystalline PrTm2Ga at its relaxed geometry at the PBE level of DFT.

Lattice parameters (Å, degrees): 3.5183 3.5183 8.9279 90.00 90.00 90.00
Atoms (fractional coordinates):
1 Pr 0.5000 0.5000 0.5000
2 Tm 0.0000 0.0000 0.7975
3 Tm 0.0000 0.0000 0.2025
4 Ga 0.5000 0.5000 0.0000

Properties
For the energy of formation, the calculation gives -28.08 kJ/mol of atoms. Its space group is P4/mmm (123). As for the crystal system: tetragonal. The total energy is -4.4784 eV per atom. The calculation puts the density of states at the Fermi level at 3.414 states/eV/cell.



# 9
Computed, not measured: crystalline CeThBr5 at its relaxed geometry at the PBE level of DFT.

Lattice parameters (Å, degrees): 3.9044 8.7132 14.0804 93.48 90.00 90.00
Atoms (fractional coordinates):
1 Ce 0.2500 0.4319 0.3433
2 Ce 0.7500 0.5681 0.6567
3 Th 0.7500 0.1129 0.1433
4 Th 0.2500 0.8871 0.8567
5 Br 0.2500 0.0747 0.3025
6 Br 0.7500 0.1424 0.9273
7 Br 0.7500 0.3160 0.4849
8 Br 0.2500 0.3675 0.1233
9 Br 0.2500 0.3427 0.7179
10 Br 0.7500 0.6573 0.2821
11 Br 0.7500 0.6325 0.8767
12 Br 0.2500 0.6840 0.5151
13 Br 0.2500 0.8576 0.0727
14 Br 0.7500 0.9253 0.6975

Properties
Its space group is P2_1/m (11). As for the crystal system: monoclinic. The total energy is -4.6976 eV per atom. The calculation puts the density of states at the Fermi level at 16.729 states/eV/cell.



# 10
Computed, not measured: crystalline LaPd4Rh at its relaxed geometry at the PBE level of DFT.

Lattice parameters (Å, degrees): 5.3600 5.3600 5.3600 60.00 60.00 60.00
Atoms (fractional coordinates):
1 Rh 0.2500 0.2500 0.2500
2 Pd 0.6242 0.6242 0.1273
3 Pd 0.6242 0.1273 0.6242
4 Pd 0.6242 0.6242 0.6242
5 Pd 0.1273 0.6242 0.6242
6 La 0.0000 0.0000 0.0000

Properties
For the energy of formation, the calculation gives -32.13 kJ/mol of atoms. Its space group is F-43m (216). As for the crystal system: cubic. The total energy is -5.8413 eV per atom. The calculation puts the density of states at the Fermi level at 8.360 states/eV/cell.



# 11
Computed, not measured: crystalline TbYH2 at its relaxed geometry at the PBE level of DFT.

Lattice parameters (Å, degrees): 3.6756 3.6756 6.2558 72.92 72.92 60.00
Atoms (fractional coordinates):
1 Tb 0.5000 0.5000 0.5000
2 Y 0.0000 0.0000 0.0000
3 H 0.1257 0.1257 0.6228
4 H 0.8743 0.8743 0.3772

Properties
Its space group is R-3m (166). As for the crystal system: trigonal. The total energy is -4.9724 eV per atom. The calculation puts the density of states at the Fermi level at 2.191 states/eV/cell.



# 12
Computed, not measured: crystalline ZrV6Ge8 at its relaxed geometry at the PBE level of DFT.

Lattice parameters (Å, degrees): 6.6537 6.6537 6.6537 66.95 66.95 66.95
Atoms (fractional coordinates):
1 Zr 0.0000 0.0000 0.0000
2 V 0.5903 0.3403 0.8549
3 V 0.3403 0.8549 0.5903
4 V 0.8549 0.5903 0.3403
5 V 0.4097 0.6597 0.1451
6 V 0.6597 0.1451 0.4097
7 V 0.1451 0.4097 0.6597
8 Ge 0.7069 0.7069 0.7069
9 Ge 0.2931 0.2931 0.2931
10 Ge 0.5807 0.9375 0.1664
11 Ge 0.9375 0.1664 0.5807
12 Ge 0.1664 0.5807 0.9375
13 Ge 0.4193 0.0625 0.8336
14 Ge 0.0625 0.8336 0.4193
15 Ge 0.8336 0.4193 0.0625

Properties
For the energy of formation, the calculation gives -12.52 kJ/mol of atoms. Its space group is R-3 (148). As for the crystal system: trigonal. The total energy is -6.8096 eV per atom. The calculation puts the density of states at the Fermi level at 9.302 states/eV/cell.



Please write out number 9 again, unchanged.
Computed, not measured: crystalline CeThBr5 at its relaxed geometry at the PBE level of DFT.

Lattice parameters (Å, degrees): 3.9044 8.7132 14.0804 93.48 90.00 90.00
Atoms (fractional coordinates):
1 Ce 0.2500 0.4319 0.3433
2 Ce 0.7500 0.5681 0.6567
3 Th 0.7500 0.1129 0.1433
4 Th 0.2500 0.8871 0.8567
5 Br 0.2500 0.0747 0.3025
6 Br 0.7500 0.1424 0.9273
7 Br 0.7500 0.3160 0.4849
8 Br 0.2500 0.3675 0.1233
9 Br 0.2500 0.3427 0.7179
10 Br 0.7500 0.6573 0.2821
11 Br 0.7500 0.6325 0.8767
12 Br 0.2500 0.6840 0.5151
13 Br 0.2500 0.8576 0.0727
14 Br 0.7500 0.9253 0.6975

Properties
Its space group is P2_1/m (11). As for the crystal system: monoclinic. The total energy is -4.6976 eV per atom. The calculation puts the density of states at the Fermi level at 16.729 states/eV/cell.



Look up the density of states at the Fermi level of the eighth one.
3.414 states/eV/cell